(1)
This record from Alexandria via LeMat-Bulk describes a geometry-optimized LaPm2ThP4 structure. The functional is PBE.

CIF file:
```
data_LaPm2ThP4
_chemical_formula_sum 'La1 Pm2 Th1 P4'
_cell_length_a 7.204
_cell_length_b 4.170
_cell_length_c 7.227
_cell_angle_alpha 90.00
_cell_angle_beta 109.45
_cell_angle_gamma 90.00
_space_group_name_H-M_alt 'P 1 2/m 1'
_space_group_IT_number 10
_space_group_name_Hall '-P 2y'
loop_
_atom_site_label
_atom_site_type_symbol
_atom_site_fract_x
_atom_site_fract_y
_atom_site_fract_z
La1 La 0.000 0.000 0.000
Pm1 Pm 0.500 0.000 0.500
Pm2 Pm 0.500 0.500 0.000
Th1 Th 0.000 0.500 0.500
P1 P 0.250 0.000 0.746
P2 P 0.252 0.500 0.256
```

Summary:
* V: 204.7 Å³/cell
* energy of formation from the pure elements: -1.589 eV per atom
* final energy: -7.025 eV/atom


(2)
This record from Alexandria via LeMat-Bulk describes a geometry-optimized La2PmThP4 structure. The functional is PBE.

CIF file:
```
data_La2PmThP4
_chemical_formula_sum 'La2 Pm1 Th1 P4'
_cell_length_a 7.263
_cell_length_b 4.201
_cell_length_c 7.294
_cell_angle_alpha 90.00
_cell_angle_beta 109.38
_cell_angle_gamma 90.00
_space_group_name_H-M_alt 'P 1 2/m 1'
_space_group_IT_number 10
_space_group_name_Hall '-P 2y'
loop_
_atom_site_label
_atom_site_type_symbol
_atom_site_fract_x
_atom_site_fract_y
_atom_site_fract_z
La1 La 0.000 0.000 0.000
La2 La 0.500 0.500 0.000
Pm1 Pm 0.000 0.500 0.500
Th1 Th 0.500 0.000 0.500
P1 P 0.250 0.000 0.742
P2 P 0.255 0.500 0.259
```

Summary:
* V: 210.0 Å³/cell
* energy of formation from the pure elements: -1.595 eV per atom
* final energy: -7.054 eV/atom


(3)
This record from Alexandria via LeMat-Bulk describes a geometry-optimized La3PmTh2P6 structure. The functional is PBE.

CIF file:
```
data_La3PmTh2P6
_chemical_formula_sum 'La6 Pm2 Th4 P12'
_cell_length_a 7.270
_cell_length_b 12.600
_cell_length_c 7.293
_cell_angle_alpha 90.00
_cell_angle_beta 109.39
_cell_angle_gamma 90.00
_space_group_name_H-M_alt 'C 1 2/m 1'
_space_group_IT_number 12
_space_group_name_Hall '-C 2y'
loop_
_atom_site_label
_atom_site_type_symbol
_atom_site_fract_x
_atom_site_fract_y
_atom_site_fract_z
La1 La 0.000 0.000 0.000
La2 La 0.000 0.334 0.000
Pm1 Pm 0.000 0.500 0.500
Th1 Th 0.000 0.167 0.500
P1 P 0.244 0.000 0.741
P2 P 0.248 0.332 0.741
```

Summary:
* V: 630.1 Å³/cell
* energy of formation from the pure elements: -1.596 eV per atom
* final energy: -7.166 eV/atom


(4)
This record from Alexandria via LeMat-Bulk describes a geometry-optimized LaPm3Th2P6 structure. The functional is PBE.

CIF file:
```
data_LaPm3Th2P6
_chemical_formula_sum 'La2 Pm6 Th4 P12'
_cell_length_a 7.209
_cell_length_b 12.497
_cell_length_c 7.182
_cell_angle_alpha 90.00
_cell_angle_beta 109.54
_cell_angle_gamma 90.00
_space_group_name_H-M_alt 'C 1 2/m 1'
_space_group_IT_number 12
_space_group_name_Hall '-C 2y'
loop_
_atom_site_label
_atom_site_type_symbol
_atom_site_fract_x
_atom_site_fract_y
_atom_site_fract_z
La1 La 0.000 0.000 0.000
Pm1 Pm 0.000 0.165 0.500
Pm2 Pm 0.000 0.500 0.500
Th1 Th 0.000 0.333 0.000
P1 P 0.244 0.500 0.250
P2 P 0.247 0.331 0.750
```

Summary:
* V: 609.8 Å³/cell
* energy of formation from the pure elements: -1.589 eV per atom
* final energy: -7.129 eV/atom


(5)
This record from Alexandria via LeMat-Bulk describes a geometry-optimized La4PmTh3P8 structure. The functional is PBE.

CIF file:
```
data_La4PmTh3P8
_chemical_formula_sum 'La12 Pm3 Th9 P24'
_cell_length_a 8.3970
_cell_length_b 8.3970
_cell_length_c 20.6476
_cell_angle_alpha 90.00
_cell_angle_beta 90.00
_cell_angle_gamma 120.00
_space_group_name_H-M_alt 'R -3 m'
_space_group_IT_number 166
_space_group_name_Hall '-R 3 2"'
loop_
_atom_site_label
_atom_site_type_symbol
_atom_site_fract_x
_atom_site_fract_y
_atom_site_fract_z
La1 La 0.0000 0.0000 0.0000
La2 La 0.0000 0.5000 0.0000
Pm1 Pm 0.0000 0.0000 0.5000
Th1 Th 0.0000 0.5000 0.5000
P1 P 0.0000 0.0000 0.2467
P2 P 0.0018 0.5009 0.7532
```

Summary:
* V: 1260.8 Å³/cell
* energy of formation from the pure elements: -1.594 eV per atom
* final energy: -7.219 eV/atom


(6)
This record from Alexandria via LeMat-Bulk describes a geometry-optimized LaPmTh2P4 structure. The functional is PBE.

CIF file:
```
data_LaPmTh2P4
_chemical_formula_sum 'La1 Pm1 Th2 P4'
_cell_length_a 7.221
_cell_length_b 4.174
_cell_length_c 7.228
_cell_angle_alpha 90.00
_cell_angle_beta 109.55
_cell_angle_gamma 90.00
_space_group_name_H-M_alt 'P 1 2/m 1'
_space_group_IT_number 10
_space_group_name_Hall '-P 2y'
loop_
_atom_site_label
_atom_site_type_symbol
_atom_site_fract_x
_atom_site_fract_y
_atom_site_fract_z
La1 La 0.000 0.000 0.000
Pm1 Pm 0.000 0.500 0.500
Th1 Th 0.500 0.000 0.500
Th2 Th 0.500 0.500 0.000
P1 P 0.255 0.000 0.749
P2 P 0.257 0.500 0.255
```

Summary:
* V: 205.3 Å³/cell
* energy of formation from the pure elements: -1.577 eV per atom
* final energy: -7.347 eV/atom


Q: Which of these has the lowest V?
A: LaPm2ThP4


Q: Which of these has the lowest final energy?
A: LaPmTh2P4


Q: Which of these has the highest final energy?
A: LaPm2ThP4


Copy entry 1 word for word.
This record from Alexandria via LeMat-Bulk describes a geometry-optimized LaPm2ThP4 structure. The functional is PBE.

CIF file:
```
data_LaPm2ThP4
_chemical_formula_sum 'La1 Pm2 Th1 P4'
_cell_length_a 7.204
_cell_length_b 4.170
_cell_length_c 7.227
_cell_angle_alpha 90.00
_cell_angle_beta 109.45
_cell_angle_gamma 90.00
_space_group_name_H-M_alt 'P 1 2/m 1'
_space_group_IT_number 10
_space_group_name_Hall '-P 2y'
loop_
_atom_site_label
_atom_site_type_symbol
_atom_site_fract_x
_atom_site_fract_y
_atom_site_fract_z
La1 La 0.000 0.000 0.000
Pm1 Pm 0.500 0.000 0.500
Pm2 Pm 0.500 0.500 0.000
Th1 Th 0.000 0.500 0.500
P1 P 0.250 0.000 0.746
P2 P 0.252 0.500 0.256
```

Summary:
* V: 204.7 Å³/cell
* energy of formation from the pure elements: -1.589 eV per atom
* final energy: -7.025 eV/atom